1.
A crystal of Ta3TiF relaxed with PBEsol. Source: the Alexandria database, functional meta-GGA SCAN.

Cell and atoms, written as extended XYZ:
```
5
Lattice="4.6701 0.0000 0.0000 0.0000 4.6701 0.0000 0.0000 0.0000 4.6701" Properties=species:S:1:pos:R:3 pbc="T T T"
Ta 0.0000 0.0000 2.3350
Ta 0.0000 2.3350 0.0000
Ta 2.3350 0.0000 0.0000
Ti 0.0000 0.0000 0.0000
F 2.3350 2.3350 2.3350
```

Computed properties:
- formation energy (no corrections) (eV/atom) = 1.63
- E (eV per formula unit) = -211.19
- magnetization (μB/cell) = 0.00
- SG = Pm-3m



2.
A crystal of ZrTaF2 relaxed with PBEsol. Source: the Alexandria database, functional meta-GGA SCAN.

Cell and atoms, written as extended XYZ:
```
4
Lattice="1.4290 0.8250 8.0042 -1.4290 0.8250 8.0042 0.0000 -1.6501 8.0042" Properties=species:S:1:pos:R:3 pbc="T T T"
Zr 0.0000 0.0000 0.0000
Ta 0.0000 0.0000 12.0063
F 0.0000 0.0000 2.4254
F 0.0000 0.0000 21.5872
```

Computed properties:
- formation energy (no corrections) (eV/atom) = -1.24
- E (eV per formula unit) = -109.30
- magnetization (μB/cell) = 0.00
- SG = R-3m



3.
A crystal of Tb4F15 relaxed with PBEsol. Source: the Alexandria database, functional meta-GGA SCAN.

Cell and atoms, written as extended XYZ:
```
38
Lattice="6.4647 3.7324 4.1160 -6.4647 3.7324 4.1160 0.0000 -7.4648 4.1160" Properties=species:S:1:pos:R:3 pbc="T T T"
Tb -3.6705 1.1073 5.1450
Tb 0.0000 0.0000 3.0870
Tb -2.7942 -2.6251 7.2030
Tb 0.8763 -3.7324 5.1450
Tb -0.8763 3.7324 7.2030
Tb 2.7942 2.6251 5.1450
Tb 0.0000 0.0000 9.2610
Tb 3.6705 -1.1073 7.2030
F -4.8670 -2.9549 6.4096
F -2.7430 -3.7324 5.1450
F -0.7593 -4.2898 3.7359
F -3.3354 2.8024 3.7359
F -3.1293 -0.9300 5.7939
F -4.9926 2.7375 5.9383
F 0.1256 -5.6924 5.9383
F -4.6038 0.5093 7.2030
F -1.5976 0.7774 4.3516
F 0.1256 -1.7723 4.3516
F -4.0947 -1.4873 8.6121
F -0.7593 -3.1750 6.5541
F -2.3700 2.2450 6.5541
F -1.8608 4.2417 5.1450
F -1.4721 -0.9949 7.9963
F 1.4721 0.9949 4.3516
F 1.8608 -4.2417 7.2030
F 2.3700 -2.2450 5.7939
F 0.7593 3.1750 5.7939
F 4.0947 1.4873 3.7359
F -0.1256 1.7723 7.9963
F 1.5977 -0.7774 7.9963
F 4.6038 -0.5093 5.1450
F -0.1256 5.6924 6.4096
F 4.9926 -2.7375 6.4096
F 3.1293 0.9300 6.5541
F 3.3354 -2.8024 8.6121
F 0.7593 4.2898 8.6121
F 2.7430 3.7324 7.2030
F 4.8670 2.9550 5.9383
```

Computed properties:
- formation energy (no corrections) (eV/atom) = -3.56
- E (eV per formula unit) = -307.83
- magnetization (μB/cell) = 6.07
- SG = R-3c



4.
A crystal of TcF6 relaxed with PBEsol. Source: the Alexandria database, functional meta-GGA SCAN.

Cell and atoms, written as extended XYZ:
```
28
Lattice="9.3749 0.0000 0.0000 0.0000 8.5945 0.0000 0.0000 0.0000 4.9862" Properties=species:S:1:pos:R:3 pbc="T T T"
Tc 1.2068 2.1486 0.4136
Tc 3.4807 6.4458 2.9067
Tc 5.8942 2.1486 2.0795
Tc 8.1681 6.4458 4.5726
F 0.1542 0.8597 1.1634
F 0.1479 2.1486 3.9130
F 0.1542 3.4375 1.1634
F 2.2582 0.8582 4.6544
F 2.2582 3.4390 4.6544
F 2.2664 2.1486 1.9026
F 2.4210 6.4458 4.3957
F 2.4293 5.1555 2.1613
F 2.4293 7.7362 2.1613
F 4.5333 5.1569 3.6565
F 4.5396 6.4458 1.4199
F 4.5333 7.7348 3.6565
F 4.8416 0.8597 1.3297
F 4.8353 2.1486 3.5663
F 4.8416 3.4375 1.3297
F 6.9456 0.8582 2.8248
F 6.9456 3.4390 2.8248
F 6.9539 2.1486 0.5905
F 7.1085 6.4458 3.0836
F 7.1167 5.1555 0.3318
F 7.1167 7.7362 0.3318
F 9.2207 5.1569 3.8228
F 9.2270 6.4458 1.0732
F 9.2207 7.7348 3.8228
```

Computed properties:
- formation energy (no corrections) (eV/atom) = -2.07
- E (eV per formula unit) = -70.81
- magnetization (μB/cell) = 4.00
- energy above the lowest structure with this stoichiometry (eV per atom) = 0.000
- SG = Pnma



5.
A crystal of TcF6 relaxed with PBEsol. Source: the Alexandria database, functional meta-GGA SCAN.

Cell and atoms, written as extended XYZ:
```
7
Lattice="-3.1783 3.1783 3.1783 3.1783 -3.1783 3.1783 3.1783 3.1783 -3.1783" Properties=species:S:1:pos:R:3 pbc="T T T"
Tc 0.0000 0.0000 0.0000
F 1.8243 0.0000 0.0000
F 4.5323 0.0000 0.0000
F 0.0000 1.8243 0.0000
F 0.0000 0.0000 1.8243
F 0.0000 4.5323 0.0000
F 0.0000 0.0000 4.5323
```

Computed properties:
- formation energy (no corrections) (eV/atom) = -2.02
- E (eV per formula unit) = -70.46
- magnetization (μB/cell) = 1.00
- energy above the lowest structure with this stoichiometry (eV per atom) = 0.049
- SG = Im-3m



6.
A crystal of TiTcF3 relaxed with PBEsol. Source: the Alexandria database, functional meta-GGA SCAN.

Cell and atoms, written as extended XYZ:
```
5
Lattice="4.0601 0.0000 0.0000 0.0000 4.0601 0.0000 0.0000 0.0000 4.0601" Properties=species:S:1:pos:R:3 pbc="T T T"
Ti 0.0000 0.0000 0.0000
Tc 2.0300 2.0300 2.0300
F 0.0000 0.0000 2.0300
F 0.0000 2.0300 0.0000
F 2.0300 0.0000 0.0000
```

Computed properties:
- formation energy (no corrections) (eV/atom) = -1.56
- E (eV per formula unit) = -69.50
- magnetization (μB/cell) = 2.67
- SG = Pm-3m